[1]
Material: TlFe2Pt
Method: DFT, meta-GGA SCAN
State: single point on PBEsol structure

Output
Crystal system   tetragonal
E above lowest polymorph   0.0 meV/atom
Final energy   -1.6392 hartree per atom
ΔH_f (0 K)   98 meV/atom

Lattice parameters (Å, degrees): 3.900 3.904 3.904 90.00 90.00 90.00
Last column: magnetic moment on the atom in μB.
Positions (direct):
1 Fe 0.000 0.000 0.500  3.03
2 Fe 0.000 0.500 0.000  3.03
3 Pt 0.500 0.500 0.500  0.07
4 Tl 0.500 0.000 0.000  -0.11

[2]
Material: MoP2WS
Method: DFT, meta-GGA SCAN
State: single point on PBEsol structure

Output
Crystal system   tetragonal
E above lowest polymorph   376.8 meV/atom
Final energy   -0.9447 hartree per atom

Lattice parameters (Å, degrees): 4.468 4.636 4.636 90.00 90.00 90.00
Last column: magnetic moment on the atom in μB.
Positions (direct):
1 P 0.000 0.000 0.500  -0.21
2 P 0.000 0.500 0.000  -0.21
3 Mo 0.000 0.000 0.000  0.87
4 S 0.500 0.000 0.000  -0.21
5 W 0.500 0.500 0.500  3.00

Number 1: M_tot 5.9 Bohr magnetons per cell. Number 2: M_tot 3.8 Bohr magnetons per cell.